[1]
# PBE-GGA KHfBRu2, relaxed
# DOS(E_F) ... 5.2 states/eV/f.u.
# Total DFT energy (no corrections) ... -6.63 eV/atom
# Magnetization ... 0.0 μB per cell
# Crystal system ... tetragonal
# Theoretical density ... 8.4 g cm⁻³
# Calculated formation energy ... 0.625 eV per atom
data_KHfBRu2
_cell_length_a 4.2848
_cell_length_b 4.2848
_cell_length_c 4.6356
_cell_angle_alpha 90.00
_cell_angle_beta 90.00
_cell_angle_gamma 90.00
_symmetry_space_group_name_H-M 'P 4/m m m'
_symmetry_Int_Tables_number 123
_symmetry_space_group_name_Hall '-P 4 2'
loop_
_atom_site_label
_atom_site_fract_x
_atom_site_fract_y
_atom_site_fract_z
K1 0.0000 0.0000 0.0000
Hf1 0.5000 0.5000 0.0000
B1 0.5000 0.5000 0.5000
Ru1 0.0000 0.5000 0.5000

[2]
# PBE-GGA K2HfB2S6, relaxed
# E_form (uncorrected) ... -0.930 eV per atom
# Total DFT energy (no corrections) ... -5.50 eV/atom
# Magnetization ... 0.0 μB per cell
# Crystal system ... monoclinic
# Theoretical density ... 3.0 g cm⁻³
data_K2HfB2S6
_cell_length_a 11.0724
_cell_length_b 6.5450
_cell_length_c 7.9653
_cell_angle_alpha 90.00
_cell_angle_beta 116.18
_cell_angle_gamma 90.00
_symmetry_space_group_name_H-M 'C 1 2/m 1'
_symmetry_Int_Tables_number 12
_symmetry_space_group_name_Hall '-C 2y'
loop_
_atom_site_label
_atom_site_fract_x
_atom_site_fract_y
_atom_site_fract_z
K1 0.2001 0.0000 0.1772
Hf1 0.0000 0.0000 0.5000
B1 0.0698 0.5000 0.3008
S1 0.0285 0.2635 0.7557
S2 0.2502 0.0000 0.6210

[3]
# PBE-GGA KHf2BSe, relaxed
# E_form (uncorrected) ... 1.228 eV per atom
# DOS(E_F) ... 4.5 states/eV/f.u.
# Total DFT energy (no corrections) ... -5.01 eV/atom
# Magnetization ... 0.0 μB per cell
# Crystal system ... tetragonal
# Theoretical density ... 5.8 g cm⁻³
data_KHf2BSe
_cell_length_a 4.9695
_cell_length_b 4.9695
_cell_length_c 5.5860
_cell_angle_alpha 90.00
_cell_angle_beta 90.00
_cell_angle_gamma 90.00
_symmetry_space_group_name_H-M 'P 4/m m m'
_symmetry_Int_Tables_number 123
_symmetry_space_group_name_Hall '-P 4 2'
loop_
_atom_site_label
_atom_site_fract_x
_atom_site_fract_y
_atom_site_fract_z
K1 0.0000 0.0000 0.0000
Hf1 0.0000 0.5000 0.5000
B1 0.5000 0.5000 0.0000
Se1 0.0000 0.0000 0.5000

[4]
# PBE-GGA LaHfB3, relaxed
# DOS(E_F) ... 1.0 states/eV/f.u.
# Total DFT energy (no corrections) ... -6.45 eV/atom
# Magnetization ... 0.0 μB per cell
# Crystal system ... cubic
# Theoretical density ... 6.6 g cm⁻³
# ΔE to the lowest computed polymorph ... 0 meV per atom
# Calculated formation energy ... 0.536 eV per atom
data_LaHfB3
_cell_length_a 4.4513
_cell_length_b 4.4513
_cell_length_c 4.4513
_cell_angle_alpha 90.00
_cell_angle_beta 90.00
_cell_angle_gamma 90.00
_symmetry_space_group_name_H-M 'P m -3 m'
_symmetry_Int_Tables_number 221
_symmetry_space_group_name_Hall '-P 4 2 3'
loop_
_atom_site_label
_atom_site_fract_x
_atom_site_fract_y
_atom_site_fract_z
La1 0.0000 0.0000 0.0000
Hf1 0.5000 0.5000 0.5000
B1 0.0000 0.5000 0.5000

[5]
# PBE-GGA La3HfB, relaxed
# DOS(E_F) ... 6.5 states/eV/f.u.
# Total DFT energy (no corrections) ... -4.91 eV/atom
# Magnetization ... 0.0 μB per cell
# Crystal system ... cubic
# Theoretical density ... 5.7 g cm⁻³
# ΔE to the lowest computed polymorph ... 946 meV per atom
# Calculated formation energy ... 1.369 eV per atom
data_La3HfB
_cell_length_a 5.6228
_cell_length_b 5.6228
_cell_length_c 5.6228
_cell_angle_alpha 90.00
_cell_angle_beta 90.00
_cell_angle_gamma 90.00
_symmetry_space_group_name_H-M 'P m -3 m'
_symmetry_Int_Tables_number 221
_symmetry_space_group_name_Hall '-P 4 2 3'
loop_
_atom_site_label
_atom_site_fract_x
_atom_site_fract_y
_atom_site_fract_z
La1 0.0000 0.0000 0.5000
Hf1 0.0000 0.0000 0.0000
B1 0.5000 0.5000 0.5000

[6]
# PBE-GGA La3HfB, relaxed
# DOS(E_F) ... 8.8 states/eV/f.u.
# Total DFT energy (no corrections) ... -5.86 eV/atom
# Magnetization ... 0.0 μB per cell
# Crystal system ... cubic
# Theoretical density ... 6.7 g cm⁻³
# ΔE to the lowest computed polymorph ... 0 meV per atom
# Calculated formation energy ... 0.423 eV per atom
data_La3HfB
_cell_length_a 5.3028
_cell_length_b 5.3028
_cell_length_c 5.3028
_cell_angle_alpha 90.00
_cell_angle_beta 90.00
_cell_angle_gamma 90.00
_symmetry_space_group_name_H-M 'P m -3 m'
_symmetry_Int_Tables_number 221
_symmetry_space_group_name_Hall '-P 4 2 3'
loop_
_atom_site_label
_atom_site_fract_x
_atom_site_fract_y
_atom_site_fract_z
La1 0.0000 0.0000 0.5000
Hf1 0.5000 0.5000 0.5000
B1 0.0000 0.0000 0.0000

[7]
# PBE-GGA LaHfB3, relaxed
# DOS(E_F) ... 4.0 states/eV/f.u.
# Total DFT energy (no corrections) ... -5.03 eV/atom
# Magnetization ... 0.0 μB per cell
# Crystal system ... cubic
# Theoretical density ... 6.8 g cm⁻³
# ΔE to the lowest computed polymorph ... 1421 meV per atom
# Calculated formation energy ... 1.956 eV per atom
data_LaHfB3
_cell_length_a 4.4134
_cell_length_b 4.4134
_cell_length_c 4.4134
_cell_angle_alpha 90.00
_cell_angle_beta 90.00
_cell_angle_gamma 90.00
_symmetry_space_group_name_H-M 'P m -3 m'
_symmetry_Int_Tables_number 221
_symmetry_space_group_name_Hall '-P 4 2 3'
loop_
_atom_site_label
_atom_site_fract_x
_atom_site_fract_y
_atom_site_fract_z
La1 0.0000 0.0000 0.0000
Hf1 0.5000 0.5000 0.5000
B1 0.0000 0.0000 0.5000

[8]
# PBE-GGA La3HfB2N6, relaxed
# E_form (uncorrected) ... -1.306 eV per atom
# DOS(E_F) ... 2.6 states/eV/f.u.
# Total DFT energy (no corrections) ... -8.64 eV/atom
# Magnetization ... 0.0 μB per cell
# Crystal system ... trigonal
# Theoretical density ... 6.8 g cm⁻³
data_La3HfB2N6
_cell_length_a 5.5245
_cell_length_b 5.5245
_cell_length_c 6.5019
_cell_angle_alpha 90.00
_cell_angle_beta 90.00
_cell_angle_gamma 120.00
_symmetry_space_group_name_H-M 'P -3 m 1'
_symmetry_Int_Tables_number 164
_symmetry_space_group_name_Hall '-P 3 2"'
loop_
_atom_site_label
_atom_site_fract_x
_atom_site_fract_y
_atom_site_fract_z
La1 0.0000 0.0000 0.0000
La2 0.3333 0.6667 0.6688
Hf1 0.0000 0.0000 0.5000
B1 0.3333 0.6667 0.2648
N1 0.1810 0.3620 0.2966